Crystalline BaMn2Si at its relaxed geometry. Source: Alexandria, functional PBE.

Lattice parameters (Å, degrees): 6.060 6.060 3.118 75.79 75.79 116.49
Fractional coordinates of all 4 atoms:
1 Ba 0.000 0.500 0.500
2 Mn 0.000 0.000 0.000
3 Mn 0.500 0.500 0.000
4 Si 0.500 0.000 0.500

Computed properties:
DOS at the Fermi energy: 3.37 states/eV/cell
spin magnetization: 1.943 μB/atom
space group: C2/m
formation energy without anion corrections: 0.84 eV per atom

Crystalline YIrSe2Br at its relaxed geometry. Source: Alexandria, functional PBE.

Lattice parameters (Å, degrees): 5.515 5.515 5.311 90.00 90.00 90.00
Fractional coordinates of all 5 atoms:
1 Y 0.000 0.000 0.000
2 Ir 0.500 0.500 0.500
3 Se 0.000 0.500 0.000
4 Se 0.500 0.000 0.000
5 Br 0.000 0.000 0.500

Computed properties:
DOS at the Fermi energy: 4.07 states/eV/cell
spin magnetization: 0.539 μB/atom
space group: P4/mmm
formation energy without anion corrections: 0.45 eV per atom

Crystalline CdInI2Cl at its relaxed geometry. Source: Alexandria, functional PBE.

Lattice parameters (Å, degrees): 5.973 5.973 5.157 90.00 90.00 90.00
Fractional coordinates of all 5 atoms:
1 I 0.000 0.500 0.000
2 I 0.500 0.000 0.000
3 Cl 0.000 0.000 0.500
4 Cd 0.000 0.000 0.000
5 In 0.500 0.500 0.500

Computed properties:
spin magnetization: 0.000 μB/atom
space group: P4/mmm
formation energy without anion corrections: -0.57 eV per atom

Crystalline DyY3Rh8 at its relaxed geometry. Source: Alexandria, functional PBE.

Lattice parameters (Å, degrees): 5.344 5.344 9.251 73.21 73.21 60.00
Fractional coordinates of all 12 atoms:
1 Dy 0.875 0.875 0.376
2 Y 0.375 0.375 0.875
3 Y 0.000 0.000 0.000
4 Y 0.500 0.500 0.499
5 Rh 0.937 0.437 0.188
6 Rh 0.438 0.938 0.687
7 Rh 0.437 0.437 0.188
8 Rh 0.938 0.938 0.687
9 Rh 0.188 0.188 0.437
10 Rh 0.688 0.688 0.937
11 Rh 0.437 0.937 0.188
12 Rh 0.938 0.438 0.687

Computed properties:
DOS at the Fermi energy: 7.17 states/eV/cell
spin magnetization: 0.000 μB/atom
space group: R3m
ΔH_f (0 K): -0.740 eV per atom

Crystalline ErMgHgPb at its relaxed geometry. Source: Alexandria, functional PBE.

Lattice parameters (Å, degrees): 4.187 4.783 4.953 90.00 90.00 90.00
Fractional coordinates of all 4 atoms:
1 Er 0.000 0.500 0.500
2 Mg 0.000 0.000 0.000
3 Hg 0.500 0.500 0.000
4 Pb 0.500 0.000 0.500

Computed properties:
DOS at the Fermi energy: 1.24 states/eV/cell
spin magnetization: 0.000 μB/atom
space group: Pmmm
ΔH_f (0 K): -0.353 eV per atom

Crystalline LaPm2PrSm at its relaxed geometry. Source: Alexandria, functional PBE.

Lattice parameters (Å, degrees): 6.748 8.499 6.346 94.95 90.00 90.00
Fractional coordinates of all 10 atoms:
1 La 0.000 0.000 0.000
2 La 0.000 0.000 0.500
3 Pm 0.685 0.692 0.780
4 Pm 0.685 0.308 0.720
5 Pm 0.315 0.692 0.280
6 Pm 0.315 0.308 0.220
7 Pr 0.163 0.500 0.750
8 Pr 0.837 0.500 0.250
9 Sm 0.571 0.000 0.250
10 Sm 0.429 0.000 0.750

Computed properties:
DOS at the Fermi energy: 15.14 states/eV/cell
spin magnetization: 0.000 μB/atom
space group: P2/c
ΔH_f (0 K): 0.249 eV per atom

Crystalline Mg5SnPb2 at its relaxed geometry. Source: Alexandria, functional PBE.

Lattice parameters (Å, degrees): 4.794 4.794 9.270 104.99 104.99 90.00
Fractional coordinates of all 8 atoms:
1 Mg 0.500 0.500 0.000
2 Mg 0.880 0.380 0.760
3 Mg 0.380 0.880 0.760
4 Mg 0.120 0.620 0.240
5 Mg 0.620 0.120 0.240
6 Sn 0.000 0.000 0.000
7 Pb 0.743 0.743 0.486
8 Pb 0.257 0.257 0.514

Computed properties:
DOS at the Fermi energy: 3.32 states/eV/cell
spin magnetization: 0.000 μB/atom
space group: I4/mmm
ΔH_f (0 K): -0.071 eV per atom

Crystalline TbSm2Fe at its relaxed geometry. Source: Alexandria, functional PBE.

Lattice parameters (Å, degrees): 3.519 3.519 10.911 80.72 80.72 60.00
Fractional coordinates of all 4 atoms:
1 Tb 0.000 0.000 0.000
2 Fe 0.500 0.500 0.500
3 Sm 0.108 0.108 0.677
4 Sm 0.892 0.892 0.323

Computed properties:
DOS at the Fermi energy: 5.44 states/eV/cell
spin magnetization: 0.237 μB/atom
space group: R-3m
ΔH_f (0 K): 0.380 eV per atom

Question: Which of these has the highest spin magnetization?
Answer: BaMn2Si